Record 1
The following is a PBE calculation of crystalline NbInFeCo at its relaxed geometry, from OQMD.

## Properties
E above lowest polymorph: 0.3294 eV per atom

Cell: 4.4375 4.4375 4.4375 Å, 60.00 60.00 60.00°
Positions (direct):
Co  0.5000  0.5000  0.5000
Fe  0.7500  0.7500  0.7500
In  0.0000  0.0000  0.0000
Nb  0.2500  0.2500  0.2500

Record 2
The following is a PBE calculation of crystalline La2ErIn3CuAg2 at its relaxed geometry, from OQMD.

## Properties
energy: -3.98 eV/atom

Cell: 4.0666 7.9193 7.9193 Å, 120.00 90.00 90.00°
Positions (direct):
Ag  0.5000  0.6564  0.3384
Ag  0.5000  0.3384  0.6564
Cu  0.0000  0.0053  0.0053
Er  0.0000  0.3981  0.3981
In  0.5000  0.2472  0.0066
In  0.5000  0.0066  0.2472
In  0.5000  0.7525  0.7525
La  0.0000  0.5953  0.0000
La  0.0000  0.0000  0.5953

Record 3
The following is a PBE calculation of crystalline Dy2Ga2NiPt3 at its relaxed geometry, from OQMD.

## Properties
energy: -5.82 eV/atom

Cell: 4.3363 4.3363 9.0256 Å, 90.00 90.00 120.00°
Positions (direct):
Dy  0.3333  0.6667  0.2461
Dy  0.0000  0.0000  0.7529
Ga  0.6667  0.3333  0.5010
Ga  0.6667  0.3333  0.9950
Ni  0.3333  0.6667  0.9228
Pt  0.0000  0.0000  0.0731
Pt  0.0000  0.0000  0.4149
Pt  0.3333  0.6667  0.5943

Record 4
The following is a PBE calculation of crystalline GaRePb2O6 at its relaxed geometry, from OQMD.

## Properties
energy: -6.58 eV/atom

Cell: 5.5955 5.5955 5.5955 Å, 60.00 60.00 60.00°
Positions (direct):
Ga  0.5000  0.5000  0.5000
O  0.2494  0.7506  0.2494
O  0.7506  0.7506  0.2494
O  0.7506  0.2494  0.2494
O  0.2494  0.2494  0.7506
O  0.7506  0.2494  0.7506
O  0.2494  0.7506  0.7506
Pb  0.2500  0.2500  0.2500
Pb  0.7500  0.7500  0.7500
Re  0.0000  0.0000  0.0000

Record 5
The following is a PBE calculation of crystalline Li2Mg2CdGaAg2 at its relaxed geometry, from OQMD.

## Properties
energy: -2.31 eV/atom

Cell: 4.6117 4.6117 6.5667 Å, 90.00 90.00 90.00°
Positions (direct):
Ag  0.5000  0.0000  0.2338
Ag  0.0000  0.5000  0.7662
Cd  0.0000  0.0000  0.5000
Ga  0.5000  0.5000  0.0000
Li  0.0000  0.5000  0.2398
Li  0.5000  0.0000  0.7602
Mg  0.0000  0.0000  0.0000
Mg  0.5000  0.5000  0.5000

Record 6
The following is a PBE calculation of crystalline SrHoMgSe3 at its relaxed geometry, from OQMD.

## Properties
energy: -4.57 eV/atom

Cell: 7.3514 7.3514 10.7767 Å, 90.00 90.00 147.41°
Positions (direct):
Ho  0.0000  0.0000  0.0000
Ho  0.0000  0.0000  0.5000
Mg  0.4752  0.5248  0.2500
Mg  0.5248  0.4752  0.7500
Se  0.3619  0.6381  0.0655
Se  0.0867  0.9133  0.2500
Se  0.3619  0.6381  0.4345
Se  0.6381  0.3619  0.5655
Se  0.9133  0.0867  0.7500
Se  0.6381  0.3619  0.9345
Sr  0.7589  0.2411  0.2500
Sr  0.2411  0.7589  0.7500

Record 7
The following is a PBE calculation of crystalline HfMgFeSb at its relaxed geometry, from OQMD.

## Properties
E above lowest polymorph: 0.0000 eV per atom

Cell: 4.6263 4.6263 4.6263 Å, 60.00 60.00 60.00°
Positions (direct):
Fe  0.7500  0.7500  0.7500
Hf  0.5000  0.5000  0.5000
Mg  0.2500  0.2500  0.2500
Sb  0.0000  0.0000  0.0000

Record 8
The following is a PBE calculation of crystalline Ga2Ir2O5 at its relaxed geometry, from OQMD.

## Properties
E above lowest polymorph: 0.0000 eV per atom

Cell: 8.0438 3.5046 3.5046 Å, 90.00 90.00 90.00°
Positions (direct):
Ga  0.2659  0.5000  0.5000
Ga  0.7341  0.5000  0.5000
Ir  0.0000  0.0000  0.0000
Ir  0.5000  0.0000  0.0000
O  0.1489  0.5000  0.0000
O  0.8511  0.5000  0.0000
O  0.1489  0.0000  0.5000
O  0.8511  0.0000  0.5000
O  0.5000  0.5000  0.5000

Record 9
The following is a PBE calculation of crystalline Sb3Au2Xe2F19 at its relaxed geometry, from OQMD.

## Properties
energy: -3.83 eV/atom

Cell: 6.2694 8.1980 8.8632 Å, 73.48 79.27 68.61°
Positions (direct):
Au  0.1793  0.2784  0.1593
Au  0.8207  0.7216  0.8407
F  0.0000  0.5000  0.0000
F  0.5886  0.7589  0.0529
F  0.1799  0.0060  0.0808
F  0.7610  0.2305  0.0924
F  0.3977  0.4936  0.1584
F  0.9757  0.7453  0.2042
F  0.4393  0.0354  0.2829
F  0.3585  0.7225  0.3248
F  0.8023  0.0051  0.4275
F  0.3857  0.2554  0.4731
F  0.6143  0.7446  0.5269
F  0.1977  0.9949  0.5725
F  0.6415  0.2775  0.6752
F  0.5607  0.9646  0.7171
F  0.0243  0.2547  0.7958
F  0.6023  0.5064  0.8416
F  0.2390  0.7695  0.9076
F  0.8201  0.9940  0.9192
F  0.4114  0.2411  0.9471
Sb  0.2752  0.7506  0.1206
Sb  0.5000  0.0000  0.5000
Sb  0.7248  0.2494  0.8794
Xe  0.8533  0.3929  0.3756
Xe  0.1467  0.6071  0.6244

Record 10
The following is a PBE calculation of crystalline PaBe at its relaxed geometry, from OQMD.

## Properties
E above lowest polymorph: 0.0000 eV per atom

Cell: 3.1074 3.1075 4.5233 Å, 90.00 90.00 120.00°
Positions (direct):
Be  0.6667  0.3333  0.7500
Pa  0.3333  0.6667  0.2500

Record 11
The following is a PBE calculation of crystalline BaHfAsO at its relaxed geometry, from OQMD.

## Properties
E above lowest polymorph: 0.0000 eV per atom

Cell: 4.5687 7.4509 6.4941 Å, 90.00 90.00 90.00°
Positions (direct):
As  0.0000  0.2653  0.4485
As  0.0000  0.7347  0.9485
Ba  0.0000  0.7070  0.4502
Ba  0.0000  0.2930  0.9502
Hf  0.5000  0.8967  0.0195
Hf  0.5000  0.1033  0.5195
O  0.5000  0.8890  0.3358
O  0.5000  0.1110  0.8358

Record 12
The following is a PBE calculation of crystalline ScTlHg2Br6 at its relaxed geometry, from OQMD.

## Properties
energy: -2.64 eV/atom

Cell: 7.8566 7.8566 7.8566 Å, 60.00 60.00 60.00°
Positions (direct):
Br  0.2356  0.7644  0.2356
Br  0.7644  0.7644  0.2356
Br  0.7644  0.2356  0.2356
Br  0.2356  0.7644  0.7644
Br  0.7644  0.2356  0.7644
Br  0.2356  0.2356  0.7644
Hg  0.2500  0.2500  0.2500
Hg  0.7500  0.7500  0.7500
Sc  0.0000  0.0000  0.0000
Tl  0.5000  0.5000  0.5000